Entry from the Alexandria database: a relaxed structure of LaDy3TmSc (PBE).

a = 4.9579 Å, b = 7.8781 Å, c = 10.0309 Å
α = 90.00°, β = 90.00°, γ = 108.34°
Positions (direct):
La1 0.4968 0.9935 0.7500
La2 0.5032 0.0065 0.2500
Dy1 0.6681 0.3363 0.5005
Dy2 0.3319 0.6637 0.4995
Dy3 0.3319 0.6637 0.0005
Dy4 0.6681 0.3363 0.9995
Dy5 0.1713 0.3425 0.7500
Dy6 0.8287 0.6575 0.2500
Tm1 0.0000 0.0000 0.5000
Tm2 0.0000 0.0000 0.0000
Sc1 0.8303 0.6606 0.7500
Sc2 0.1697 0.3394 0.2500

Calculated values
Density of states at the Fermi level   1.605 states/eV/atom
Formation enthalpy at 0 K   49 meV/atom
SG   Cmcm (63)